# 1
10
Lattice="5.092 0.000 0.000 0.000 5.722 0.000 -2.546 -2.861 5.768" Properties=species:S:1:pos:R:3 comment="Ti2Pd3, optimized geometry, DFT PBE" energy_ev_per_atom=-6.661 e_above_lowest_polymorph_mev_per_atom=208 space_group=Ibam pbc="T T T"
Pd 2.546 2.099 1.322
Pd 1.273 0.000 0.000
Ti 2.546 1.771 3.770
Pd 3.819 0.000 0.000
Ti 0.000 1.090 1.998
Pd 0.000 0.762 4.446
Pd 2.546 -0.762 4.446
Ti 0.000 -1.771 3.770
Ti 2.546 4.632 1.998
Pd 0.000 3.623 1.322

---

# 2
16
Lattice="-1.196 6.276 -3.197 -3.927 2.098 5.587 8.289 3.817 4.392" Properties=species:S:1:pos:R:3 comment="Na14AgHg, optimized geometry, DFT PBE" energy_ev_per_atom=-1.375 space_group=P4/mmm pbc="T T T"
Na 0.260 6.098 5.886
Hg 2.223 5.049 3.092
Na 3.362 4.838 6.273
Na -3.884 4.189 3.690
Na -1.921 3.140 0.896
Na -0.291 3.155 4.337
Na 2.760 7.998 4.662
Na 1.687 2.099 1.523
Na -2.519 6.278 -0.702
Na 1.084 5.260 -0.088
Na -0.893 6.316 2.726
Na 4.738 6.942 1.848
Na 1.625 8.186 1.494
Na 5.340 3.782 3.458
Ag -0.338 9.235 4.287
Na -4.482 7.327 2.091

---

# 3
6
Lattice="-2.038 0.208 -2.922 1.143 -1.401 -3.076 -7.235 -10.557 2.115" Properties=species:S:1:pos:R:3 comment="ThBiH, optimized geometry, DFT PBE" energy_ev_per_atom=-5.189 e_above_lowest_polymorph_mev_per_atom=360 space_group=R-3m pbc="T T T"
Bi -7.054 -9.762 -2.314
Th -4.096 -7.903 -2.065
Th -4.034 -3.847 -1.819
Bi -1.077 -1.988 -1.570
H -5.049 -5.908 -1.258
H -3.081 -5.841 -2.626

---

# 4
8
Lattice="4.777 0.000 0.000 0.000 6.865 0.000 0.000 0.000 9.617" Properties=species:S:1:pos:R:3 comment="BaAcPb2, optimized geometry, DFT PBE" energy_ev_per_atom=-3.874 space_group=Pmc2_1 pbc="T T T"
Ba 0.000 0.867 6.591
Pb 0.000 2.815 0.340
Ac 2.389 4.350 7.810
Pb 2.389 0.811 9.301
Pb 0.000 4.050 5.149
Ac 2.389 2.515 3.001
Ba 0.000 5.998 1.782
Pb 2.389 6.054 4.493

---

# 5
8
Lattice="6.249 0.000 0.000 0.000 6.249 0.000 3.124 3.124 6.332" Properties=species:S:1:pos:R:3 comment="Hf2GeSb, optimized geometry, DFT PBE" energy_ev_per_atom=-6.898 formation_energy_uncorrected_ev_per_atom=0.264 e_above_lowest_polymorph_mev_per_atom=792 space_group=I-42d pbc="T T T"
Sb 6.249 3.124 3.166
Hf 1.771 4.686 1.583
Ge 3.124 3.124 0.000
Ge 3.124 6.249 3.166
Hf 7.811 7.602 4.749
Hf 4.686 4.895 4.749
Sb 0.000 0.000 0.000
Hf 4.478 1.562 1.583

---

# 6
6
Lattice="-1.576 3.041 2.367 -4.273 -2.424 -3.398 -1.311 -6.012 3.192" Properties=species:S:1:pos:R:3 comment="TbHoSi, optimized geometry, DFT PBE" energy_ev_per_atom=-5.402 formation_energy_uncorrected_ev_per_atom=-0.525 e_above_lowest_polymorph_mev_per_atom=0 space_group=C2/m pbc="T T T"
Si -3.336 -3.439 2.335
Ho -1.320 0.982 1.657
Tb -3.061 -3.822 -0.650
Tb -6.354 -3.893 0.905
Ho -3.823 -6.273 1.995
Si -1.806 -1.853 1.317